Entry 1:
The following is a PBE calculation of a geometry-optimized SmGdSnAu structure, from the Alexandria database.

Calculated formation energy ... -738 meV per atom
Total magnetization ... 31.60 Bohr magnetons per cell
Mass density ... 9.87 g/cm3

Cell: 7.485 7.485 7.485 Å, 90.00 90.00 90.00°
Space group F-43m (No. 216)
Inequivalent atoms, fractional coordinates:
Sm: 0.000 0.000 0.000 x4
Gd: 0.000 0.000 0.500 x4
Sn: 0.250 0.250 0.250 x4
Au: 0.250 0.250 0.750 x4

Entry 2:
The following is a PBE calculation of a geometry-optimized ZrIn2Pt structure, from the Alexandria database.

Calculated formation energy ... -470 meV per atom
Total magnetization ... 0.00 Bohr magnetons per cell
Mass density ... 10.67 g/cm3

Cell: 4.309 4.309 4.326 Å, 90.00 90.00 90.00°
Space group P4/mmm (No. 123)
Inequivalent atoms, fractional coordinates:
Zr: 0.000 0.000 0.000 x1
In: 0.000 0.500 0.500 x2
Pt: 0.500 0.500 0.000 x1

Question: Which formula does entry 1 have?
Answer: SmGdSnAu

Question: Among the records above, which one has the highest total magnetization?
Answer: SmGdSnAu

Question: Look up the total magnetization of the second one.
Answer: 0.00 Bohr magnetons per cell

Question: Which of these has the lowest calculated formation energy?
Answer: SmGdSnAu